The following is a DFT calculation (PBE) of a geometry-optimized InSiAs2Se structure.

Values from the calculation:
- SG: No. 123
- Total moment: 0.0 μB/f.u.
- Formation energy from raw total energies: 0.36 eV/atom

Lattice parameters (Å, degrees): 4.844 4.844 4.967 90.00 90.00 90.00
Positions (direct):
In 0.000 0.000 0.000
Si 0.500 0.500 0.500
As 0.000 0.500 0.500
As 0.500 0.000 0.500
Se 0.500 0.500 0.000